DFT (PBE) results for an optimized crystal structure of LiNiRu.

```
LiNiRu
1.0
3.974 0.000 0.000
1.987 3.442 0.000
1.987 1.147 3.245
Ru Ni Li
1 1 1
direct
0.750 0.750 0.750 Ru
0.500 0.500 0.500 Ni
0.000 0.000 0.000 Li
```

Results
- D(E_F): 1.62 states/eV per atom
- Excess energy over the best structure of this formula in the dataset: 0.5830 eV per atom
- Energy of formation: 738 meV per atom
- Total DFT energy (no corrections): -4.919 eV per atom